# Ho6SiGe2Se3

A relaxed Ho6SiGe2Se3 crystal (PBE, Alexandria via LeMat-Bulk).

- Calculated total energy: -5.73 eV/atom
- Total moment: 0.00 μB/cell
- Volume: 24.57 Å³/atom
- Formation energy (no corrections): -1348 meV/atom

Cell lengths 9.2097, 9.2097, 8.2459 Å; angles 103.59, 103.59, 25.75 degrees
Last column: nearest neighbours and their distance in Å.
Element x y z (fractional)
1 Ho 0.0026 0.0026 0.2408  2 Si 2.85, 1 Ge 2.86, 3 Se 2.95-2.97
2 Ho 0.3308 0.3308 0.4243  3 Ge 2.86, 3 Se 2.95-2.96
3 Ho 0.3369 0.3369 0.9102  1 Si 2.84, 2 Ge 2.86, 3 Se 2.96-2.97
4 Ho 0.6631 0.6631 0.0898  1 Si 2.84, 2 Ge 2.86, 3 Se 2.96-2.97
5 Ho 0.6692 0.6692 0.5757  3 Ge 2.86, 3 Se 2.95-2.96
6 Ho 0.9974 0.9974 0.7592  2 Si 2.85, 1 Ge 2.86, 3 Se 2.95-2.97
7 Si 0.5000 0.5000 0.0000  6 Ho 2.84-2.85
8 Ge 0.1666 0.1666 0.3330  6 Ho 2.86
9 Ge 0.8334 0.8334 0.6670  6 Ho 2.86
10 Se 0.1668 0.1668 0.8332  6 Ho 2.95-2.97
11 Se 0.5000 0.5000 0.5000  6 Ho 2.95-2.97
12 Se 0.8332 0.8332 0.1668  6 Ho 2.95-2.97

---

# Ho4SnGeSe2

A relaxed Ho4SnGeSe2 crystal (PBE, Alexandria via LeMat-Bulk).

- Calculated total energy: -5.54 eV/atom
- Total moment: 0.00 μB/cell
- Volume: 25.71 Å³/atom
- Formation energy (no corrections): -1299 meV/atom

Cell lengths 7.2355, 7.2355, 7.2355 Å; angles 131.89, 131.89, 70.40 degrees
Last column: nearest neighbours and their distance in Å.
Element x y z (fractional)
1 Ho 0.0043 0.5043 0.5000  3 Se 2.91-2.95, 2 Ge 2.95, 1 Sn 3.01
2 Ho 0.2450 0.2450 0.0000  1 Ge 2.90, 3 Se 2.95-3.02, 2 Sn 2.95
3 Ho 0.4957 0.9957 0.5000  3 Se 2.91-2.95, 2 Ge 2.95, 1 Sn 3.01
4 Ho 0.7550 0.7550 0.0000  1 Ge 2.90, 2 Sn 2.95, 3 Se 2.95-3.02
5 Sn 0.7500 0.2500 0.5000  6 Ho 2.95-3.01
6 Ge 0.0000 0.0000 0.0000  6 Ho 2.90-2.95
7 Se 0.2500 0.7500 0.5000  6 Ho 2.91-2.95
8 Se 0.5000 0.5000 0.0000  6 Ho 2.95-3.02

---

# TbHoGeSe

A relaxed TbHoGeSe crystal (PBE, Alexandria via LeMat-Bulk).

- Calculated total energy: -5.71 eV/atom
- Total moment: 0.00 μB/cell
- Volume: 25.03 Å³/atom
- Formation energy (no corrections): -1386 meV/atom

Cell lengths 7.1939, 7.1939, 7.1939 Å; angles 33.33, 33.33, 33.33 degrees
Last column: nearest neighbours and their distance in Å.
Element x y z (fractional)
1 Tb 0.0000 0.0000 0.0000  3 Ge 2.88, 3 Se 2.99
2 Ho 0.5084 0.5084 0.5084  3 Ge 2.87, 3 Se 2.96
3 Ge 0.2535 0.2535 0.2535  3 Ho 2.87, 3 Tb 2.88
4 Se 0.7551 0.7551 0.7551  3 Ho 2.96, 3 Tb 2.99

---

# Ho6Ge3TeSe2

A relaxed Ho6Ge3TeSe2 crystal (PBE, Alexandria via LeMat-Bulk).

- Calculated total energy: -5.58 eV/atom
- Total moment: 0.00 μB/cell
- Volume: 25.56 Å³/atom
- Formation energy (no corrections): -1298 meV/atom

Cell lengths 9.3256, 9.3256, 8.3672 Å; angles 103.56, 103.56, 25.73 degrees
Last column: nearest neighbours and their distance in Å.
Element x y z (fractional)
1 Ho 0.0019 0.0019 0.2312  3 Ge 2.83-2.88, 1 Se 3.00, 2 Te 3.07
2 Ho 0.3255 0.3255 0.4224  3 Ge 2.83-2.90, 2 Se 3.01, 1 Te 3.08
3 Ho 0.3358 0.3358 0.9083  3 Ge 2.89-2.90, 3 Se 2.97-3.00
4 Ho 0.6642 0.6642 0.0917  3 Ge 2.89-2.90, 3 Se 2.97-3.00
5 Ho 0.6745 0.6745 0.5776  3 Ge 2.83-2.90, 2 Se 3.01, 1 Te 3.08
6 Ho 0.9981 0.9981 0.7688  3 Ge 2.83-2.88, 1 Se 3.00, 2 Te 3.07
7 Ge 0.1651 0.1651 0.3317  6 Ho 2.83-2.90
8 Ge 0.5000 0.5000 0.0000  6 Ho 2.83-2.90
9 Ge 0.8349 0.8349 0.6683  6 Ho 2.83-2.90
10 Te 0.5000 0.5000 0.5000  6 Ho 3.07-3.08
11 Se 0.1677 0.1677 0.8347  6 Ho 2.97-3.01
12 Se 0.8323 0.8323 0.1653  6 Ho 2.97-3.01

---

# Ho8Ge3Te3Se

A relaxed Ho8Ge3Te3Se crystal (PBE, Alexandria via LeMat-Bulk).

- Calculated total energy: -5.36 eV/atom
- Total moment: 0.00 μB/cell
- Volume: 27.91 Å³/atom
- Formation energy (no corrections): -1137 meV/atom

Cell lengths 8.4325, 8.4325, 8.4325 Å; angles 59.44, 59.44, 59.44 degrees
Last column: nearest neighbours and their distance in Å.
Element x y z (fractional)
1 Ho 0.2288 0.7492 0.7492  2 Ge 2.84, 1 Se 2.96, 2 Te 3.10
2 Ho 0.2402 0.2402 0.2402  3 Ge 2.85, 3 Te 3.09
3 Ho 0.2508 0.2508 0.7712  2 Ge 2.84, 1 Se 2.96, 2 Te 3.10
4 Ho 0.2508 0.7712 0.2508  2 Ge 2.84, 1 Se 2.96, 2 Te 3.10
5 Ho 0.7492 0.2288 0.7492  2 Ge 2.84, 1 Se 2.96, 2 Te 3.10
6 Ho 0.7492 0.7492 0.2288  2 Ge 2.84, 1 Se 2.96, 2 Te 3.10
7 Ho 0.7598 0.7598 0.7598  3 Ge 2.85, 3 Te 3.09
8 Ho 0.7712 0.2508 0.2508  2 Ge 2.84, 1 Se 2.96, 2 Te 3.10
9 Ge 0.0000 0.0000 0.5000  6 Ho 2.84-2.85
10 Ge 0.0000 0.5000 0.0000  6 Ho 2.84-2.85
11 Ge 0.5000 0.0000 0.0000  6 Ho 2.84-2.85
12 Te 0.0000 0.5000 0.5000  6 Ho 3.09-3.10
13 Te 0.5000 0.0000 0.5000  6 Ho 3.09-3.10
14 Te 0.5000 0.5000 0.0000  6 Ho 3.09-3.10
15 Se 0.5000 0.5000 0.5000  6 Ho 2.96

---

# Ho6Ge2TeSe3

A relaxed Ho6Ge2TeSe3 crystal (PBE, Alexandria via LeMat-Bulk).

- Calculated total energy: -5.64 eV/atom
- Total moment: 0.00 μB/cell
- Volume: 25.26 Å³/atom
- Formation energy (no corrections): -1447 meV/atom

Cell lengths 9.2396, 9.2396, 8.3274 Å; angles 102.29, 102.29, 25.91 degrees
Last column: nearest neighbours and their distance in Å.
Element x y z (fractional)
1 Ho 0.0072 0.0072 0.2711  1 Ge 2.81, 3 Se 2.84-2.99, 2 Te 3.05
2 Ho 0.3266 0.3266 0.8957  2 Ge 2.84, 3 Se 2.89-3.02, 1 Te 3.05
3 Ho 0.3298 0.3298 0.4237  3 Ge 2.86-2.88, 3 Se 2.99-3.02
4 Ho 0.6702 0.6702 0.5763  3 Ge 2.86-2.88, 3 Se 2.99-3.02
5 Ho 0.6734 0.6734 0.1043  2 Ge 2.84, 3 Se 2.89-3.02, 1 Te 3.05
6 Ho 0.9928 0.9928 0.7289  1 Ge 2.81, 3 Se 2.84-2.99, 2 Te 3.05
7 Ge 0.1673 0.1673 0.3347  6 Ho 2.81-2.88
8 Ge 0.8327 0.8327 0.6653  6 Ho 2.81-2.88
9 Te 0.5000 0.5000 0.0000  6 Ho 3.05
10 Se 0.1625 0.1625 0.8358  6 Ho 2.89-3.02
11 Se 0.5000 0.5000 0.5000  6 Ho 2.84-2.99
12 Se 0.8375 0.8375 0.1642  6 Ho 2.89-3.02

---

Question: What is the calculated total energy in the first record?
Answer: -5.73 eV/atom